No. 1
Compound: Rb2CuO
Source: Alexandria via LeMat-Bulk
Functional: GGA-PBE
Structure: relaxed

a b c (Å): 8.446 8.446 7.615
angles (deg): 90.00 90.00 90.00
Space group I-42d (No. 122)
Symmetry-distinct sites (fractional):
1 Rb 0.170 0.250 0.125 [8 per cell]
2 Cu 0.000 0.000 0.500 [4 per cell]
3 O 0.000 0.000 0.000 [4 per cell]

Computed properties:
For the density of states at the Fermi level, the calculation gives 12.86 states/eV/cell. The value obtained for the uncorrected formation energy is -14 meV per atom.

---

No. 2
Compound: SrP2PtRh
Source: Alexandria via LeMat-Bulk
Functional: GGA-PBE
Structure: relaxed

a b c (Å): 4.618 4.618 5.594
angles (deg): 90.00 90.00 90.00
Space group P4/mmm (No. 123)
Symmetry-distinct sites (fractional):
1 Sr 0.000 0.000 0.000 [1 per cell]
2 P 0.000 0.500 0.500 [2 per cell]
3 Pt 0.000 0.000 0.500 [1 per cell]
4 Rh 0.500 0.500 0.000 [1 per cell]

Computed properties:
For the density of states at the Fermi level, the calculation gives 5.71 states/eV/cell. The calculation puts the formation energy from the elements at 0.476 eV/atom.

---

no.,E (eV/atom)
1,-2.76
2,-4.70